Entry 1:
This record from the Alexandria database describes a relaxed LiMoPb2 crystal. The functional is PBE.

Formation energy = 1.4 eV per formula unit

```
data_LiMoPb2
_cell_length_a 3.791
_cell_length_b 5.147
_cell_length_c 9.007
_cell_angle_alpha 90.00
_cell_angle_beta 90.00
_cell_angle_gamma 90.00
_space_group_name_H-M_alt 'C m m m'
_space_group_IT_number 65
_space_group_name_Hall '-C 2 2'
loop_
_atom_site_label
_atom_site_type_symbol
_atom_site_fract_x
_atom_site_fract_y
_atom_site_fract_z
_atom_site_occupancy
Li1 Li 0.000 0.000 0.000 1
Mo1 Mo 0.000 0.000 0.500 1
Pb1 Pb 0.000 0.500 0.258 1
```


Entry 2:
This record from the Alexandria database describes a relaxed Li2MoPb crystal. The functional is PBE.

Formation energy = 1.8 eV per formula unit

```
data_Li2MoPb
_cell_length_a 3.0082
_cell_length_b 3.0082
_cell_length_c 29.5509
_cell_angle_alpha 90.00
_cell_angle_beta 90.00
_cell_angle_gamma 120.00
_space_group_name_H-M_alt 'R -3 m'
_space_group_IT_number 166
_space_group_name_Hall '-R 3 2"'
loop_
_atom_site_label
_atom_site_type_symbol
_atom_site_fract_x
_atom_site_fract_y
_atom_site_fract_z
_atom_site_occupancy
Li1 Li 0.0000 0.0000 0.2463 1
Mo1 Mo 0.0000 0.0000 0.5000 1
Pb1 Pb 0.0000 0.0000 0.0000 1
```


Entry 3:
This record from the Alexandria database describes a relaxed LiMoPb2 crystal. The functional is PBE.

Formation energy = 1.9 eV per formula unit

```
data_LiMoPb2
_cell_length_a 4.375
_cell_length_b 4.388
_cell_length_c 9.318
_cell_angle_alpha 90.00
_cell_angle_beta 90.00
_cell_angle_gamma 90.00
_space_group_name_H-M_alt 'C m m 2'
_space_group_IT_number 35
loop_
_space_group_symop_operation_xyz
'x,y,z'
'-x,-y,z'
'-x,y,z'
'x,-y,z'
'x+1/2,y+1/2,z'
'-x+1/2,-y+1/2,z'
'-x+1/2,y+1/2,z'
'x+1/2,-y+1/2,z'
loop_
_atom_site_label
_atom_site_type_symbol
_atom_site_fract_x
_atom_site_fract_y
_atom_site_fract_z
_atom_site_occupancy
Li1 Li 0.000 0.000 0.000 1
Mo1 Mo 0.000 0.500 0.817 1
Pb1 Pb 0.000 0.000 0.580 1
Pb2 Pb 0.000 0.500 0.200 1
```


Entry 4:
This record from the Alexandria database describes a relaxed LiMoPb2 crystal. The functional is PBE.

Formation energy = 2.1 eV per formula unit

```
data_LiMoPb2
_cell_length_a 3.315
_cell_length_b 4.603
_cell_length_c 5.752
_cell_angle_alpha 90.00
_cell_angle_beta 90.00
_cell_angle_gamma 90.00
_space_group_name_H-M_alt 'P m m m'
_space_group_IT_number 47
loop_
_space_group_symop_operation_xyz
'x,y,z'
'-x,-y,-z'
'-x,-y,z'
'x,y,-z'
'x,-y,-z'
'-x,y,z'
'-x,y,-z'
'x,-y,z'
loop_
_atom_site_label
_atom_site_type_symbol
_atom_site_fract_x
_atom_site_fract_y
_atom_site_fract_z
_atom_site_occupancy
Li1 Li 0.000 0.000 0.000 1
Mo1 Mo 0.500 0.000 0.500 1
Pb1 Pb 0.000 0.500 0.500 1
Pb2 Pb 0.500 0.500 0.000 1
```


Entry 5:
This record from the Alexandria database describes a relaxed LiMoPb2 crystal. The functional is PBE.

Formation energy = 1.6 eV per formula unit

```
data_LiMoPb2
_cell_length_a 3.823
_cell_length_b 3.823
_cell_length_c 5.785
_cell_angle_alpha 90.00
_cell_angle_beta 90.00
_cell_angle_gamma 90.00
_space_group_name_H-M_alt 'P 4 m m'
_space_group_IT_number 99
loop_
_space_group_symop_operation_xyz
'x,y,z'
'-y,x,z'
'-x,-y,z'
'y,-x,z'
'-x,y,z'
'y,x,z'
'x,-y,z'
'-y,-x,z'
loop_
_atom_site_label
_atom_site_type_symbol
_atom_site_fract_x
_atom_site_fract_y
_atom_site_fract_z
_atom_site_occupancy
Li1 Li 0.000 0.000 0.000 1
Mo1 Mo 0.500 0.500 0.272 1
Pb1 Pb 0.000 0.000 0.455 1
Pb2 Pb 0.500 0.500 0.792 1
```


Entry 6:
This record from the Alexandria database describes a relaxed LiMoPb2 crystal. The functional is PBE.

Formation energy = 1.8 eV per formula unit

```
data_LiMoPb2
_cell_length_a 7.007
_cell_length_b 7.007
_cell_length_c 7.007
_cell_angle_alpha 90.00
_cell_angle_beta 90.00
_cell_angle_gamma 90.00
_space_group_name_H-M_alt 'F m -3 m'
_space_group_IT_number 225
_space_group_name_Hall '-F 4 2 3'
loop_
_atom_site_label
_atom_site_type_symbol
_atom_site_fract_x
_atom_site_fract_y
_atom_site_fract_z
_atom_site_occupancy
Li1 Li 0.000 0.000 0.000 1
Mo1 Mo 0.000 0.000 0.500 1
Pb1 Pb 0.250 0.250 0.250 1
```


What did the fourth record say?
This record from the Alexandria database describes a relaxed LiMoPb2 crystal. The functional is PBE.

Formation energy = 2.1 eV per formula unit

```
data_LiMoPb2
_cell_length_a 3.315
_cell_length_b 4.603
_cell_length_c 5.752
_cell_angle_alpha 90.00
_cell_angle_beta 90.00
_cell_angle_gamma 90.00
_space_group_name_H-M_alt 'P m m m'
_space_group_IT_number 47
loop_
_space_group_symop_operation_xyz
'x,y,z'
'-x,-y,-z'
'-x,-y,z'
'x,y,-z'
'x,-y,-z'
'-x,y,z'
'-x,y,-z'
'x,-y,z'
loop_
_atom_site_label
_atom_site_type_symbol
_atom_site_fract_x
_atom_site_fract_y
_atom_site_fract_z
_atom_site_occupancy
Li1 Li 0.000 0.000 0.000 1
Mo1 Mo 0.500 0.000 0.500 1
Pb1 Pb 0.000 0.500 0.500 1
Pb2 Pb 0.500 0.500 0.000 1
```


What is the formation energy in the fifth record? 1.6 eV per formula unit